This record from Alexandria describes crystalline Rb2H2Se3 at its relaxed geometry. The functional is PBE.

a b c (Å): 5.409 5.023 7.653
angles (deg): 90.00 94.19 90.00
Fractional coordinates of all 7 atoms:
Rb: 0.213 0.000 0.255
Rb: 0.787 0.000 0.745
H: 0.386 0.500 0.717
H: 0.614 0.500 0.283
Se: 0.292 0.500 0.931
Se: 0.500 0.500 0.500
Se: 0.708 0.500 0.069

## Properties
energy	-0.23569	Ry per atom